(1)
The following is a DFT calculation (PBE) of an optimized crystal structure of Zn4As2O9.

Lattice parameters (Å, degrees): 9.8294 8.1857 10.5018 90.00 121.28 90.00
Closest atoms and distances in Å follow each position.
Fractional coordinates of all 60 atoms:
As  0.0000  0.4831  0.2153  4 O 1.71-1.72
As  0.3421  0.0024  0.2358  4 O 1.71-1.75
As  0.6579  0.5024  0.2642  4 O 1.71-1.75
As  0.0000  0.9831  0.2847  4 O 1.71-1.72
As  0.0000  0.0169  0.7153  4 O 1.71-1.72
As  0.3421  0.4976  0.7358  4 O 1.71-1.75
As  0.6579  0.9976  0.7642  4 O 1.71-1.75
As  0.0000  0.5169  0.7847  4 O 1.71-1.72
O  0.4952  0.8264  0.0093  4 Zn 1.93-2.10
O  0.8937  0.3249  0.0966  1 As 1.72
O  0.6753  0.5227  0.1107  1 As 1.72
O  0.9424  0.6590  0.1123  1 As 1.71
O  0.2606  0.1655  0.1173  1 As 1.71
O  0.0239  0.9996  0.1351  1 As 1.71
O  0.2776  0.8137  0.1570  1 As 1.71
O  0.4518  0.5099  0.1899  1 As 1.75, 1 Zn 1.94
O  0.8062  0.9258  0.2166  1 As 1.72
O  0.1938  0.4258  0.2834  1 As 1.72
O  0.5482  0.0099  0.3101  1 As 1.75, 1 Zn 1.94
O  0.7224  0.3137  0.3430  1 As 1.71
O  0.9761  0.4996  0.3649  1 As 1.71
O  0.7394  0.6655  0.3827  1 As 1.71
O  0.0576  0.1590  0.3877  1 As 1.71
O  0.3247  0.0227  0.3893  1 As 1.72
O  0.1063  0.8249  0.4034  1 As 1.72
O  0.5048  0.3264  0.4907  4 Zn 1.93-2.10
O  0.4952  0.6736  0.5093  4 Zn 1.93-2.10
O  0.8937  0.1751  0.5966  1 As 1.72
O  0.6753  0.9773  0.6107  1 As 1.72
O  0.9424  0.8410  0.6123  1 As 1.71
O  0.2606  0.3345  0.6173  1 As 1.71
O  0.0239  0.5004  0.6351  1 As 1.71
O  0.2776  0.6863  0.6570  1 As 1.71
O  0.4518  0.9901  0.6899  1 As 1.75, 1 Zn 1.94
O  0.8062  0.5742  0.7166  1 As 1.72
O  0.1938  0.0742  0.7834  1 As 1.72
O  0.5482  0.4901  0.8101  1 As 1.75, 1 Zn 1.94
O  0.7224  0.1863  0.8430  1 As 1.71
O  0.9761  0.0004  0.8649  1 As 1.71
O  0.7394  0.8345  0.8827  1 As 1.71
O  0.0576  0.3410  0.8877  1 As 1.71
O  0.3247  0.4773  0.8893  1 As 1.72
O  0.1063  0.6751  0.9034  1 As 1.72
O  0.5048  0.1736  0.9907  4 Zn 1.93-2.10
Zn  0.0138  0.8048  0.0041  5 O 2.01-2.23
Zn  0.3469  0.6825  0.0238  5 O 1.94-2.14
Zn  0.7040  0.7429  0.0406  5 O 2.01-2.18
Zn  0.6017  0.0231  0.1568  4 O 1.93-2.10
Zn  0.3983  0.5231  0.3432  4 O 1.93-2.10
Zn  0.2960  0.2429  0.4594  5 O 2.01-2.18
Zn  0.6531  0.1825  0.4762  5 O 1.94-2.14
Zn  0.9862  0.3048  0.4959  5 O 2.01-2.23
Zn  0.0138  0.6952  0.5041  5 O 2.01-2.23
Zn  0.3469  0.8175  0.5238  5 O 1.94-2.14
Zn  0.7040  0.7571  0.5406  5 O 2.01-2.18
Zn  0.6017  0.4769  0.6568  4 O 1.93-2.10
Zn  0.3983  0.9769  0.8432  4 O 1.93-2.10
Zn  0.2960  0.2571  0.9594  5 O 2.01-2.18
Zn  0.6531  0.3175  0.9762  5 O 1.94-2.14
Zn  0.9862  0.1952  0.9959  5 O 2.01-2.23

Values from the calculation:
Electronic total energy   -5.270 eV per atom
Symmetry   P2_1/c

(2)
The following is a DFT calculation (PBE) of an optimized crystal structure of Cs4SiTcS6.

Lattice parameters (Å, degrees): 7.2395 7.7139 9.0838 72.75 68.66 65.19
Closest atoms and distances in Å follow each position.
Fractional coordinates of all 12 atoms:
Cs  0.0907  0.1874  0.1416  7 S 3.47-3.83
Cs  0.3334  0.5621  0.3139  6 S 3.56-3.92
Cs  0.6632  0.4419  0.6915  6 S 3.52-3.87
Cs  0.9209  0.7990  0.8516  7 S 3.53-3.73
S  0.6184  0.1648  0.0997  1 Tc 2.20
S  0.8175  0.6434  0.2774  1 Tc 2.21
S  0.3012  0.9775  0.4971  1 Si 2.24, 1 Tc 2.29
S  0.6881  0.0327  0.5122  1 Si 2.23, 1 Tc 2.30
S  0.1871  0.3449  0.7234  1 Si 2.11
S  0.3812  0.8439  0.8904  1 Si 2.10
Si  0.3699  0.0580  0.6836  4 S 2.10-2.24
Tc  0.6285  0.9444  0.3177  4 S 2.20-2.30

Values from the calculation:
Electronic total energy   -4.658 eV per atom
Magnetic moment   1.0 μB/f.u.
Symmetry   P1

(3)
The following is a DFT calculation (PBE) of an optimized crystal structure of HfCdCoSi.

Lattice parameters (Å, degrees): 4.4958 4.4958 4.4958 60.00 60.00 60.00
Closest atoms and distances in Å follow each position.
Fractional coordinates of all 4 atoms:
Cd  0.5000  0.5000  0.5000  4 Co 2.75, 4 Hf 2.75
Co  0.7500  0.7500  0.7500  4 Cd 2.75, 4 Si 2.75
Hf  0.2500  0.2500  0.2500  4 Cd 2.75, 4 Si 2.75
Si  0.0000  0.0000  0.0000  4 Co 2.75, 4 Hf 2.75

Values from the calculation:
Energy above the most stable polymorph in this dataset   0.0 meV per atom
Magnetic moment   0.9 μB/f.u.
Symmetry   F-43m

(4)
The following is a DFT calculation (PBE) of an optimized crystal structure of Rb2DyNbO4.

Lattice parameters (Å, degrees): 3.3525 3.3525 12.8287 90.00 90.00 120.00
Closest atoms and distances in Å follow each position.
Fractional coordinates of all 8 atoms:
Dy  0.0000  0.0000  0.0000  6 O 2.27
Nb  0.0000  0.0000  0.5000  6 O 2.22
O  0.3333  0.6667  0.0929  3 Dy 2.27
O  0.3333  0.6667  0.4152  3 Nb 2.22
O  0.6667  0.3333  0.5848  3 Nb 2.22
O  0.6667  0.3333  0.9071  3 Dy 2.27
Rb  0.6667  0.3333  0.2564  6 O 2.81-2.85
Rb  0.3333  0.6667  0.7436  6 O 2.81-2.85

Values from the calculation:
Electronic total energy   -6.716 eV per atom
Magnetic moment   0.0 μB/f.u.
Symmetry   P-3m1